Record 1
! K3Dy2MoO6 (PBE with a Hubbard U, relaxed); values from VASP
! Uncorrected energy: -6.49 eV per atom
! Space group: C2/m
&SYSTEM
  ibrav = 0, nat = 12, ntyp = 4
/
ATOMIC_SPECIES
K 39.10 K.upf
Dy 162.50 Dy.upf
Mo 95.94 Mo.upf
O 16.00 O.upf
CELL_PARAMETERS angstrom
2.963 -5.131 0.000
2.963 5.131 0.000
-1.971 0.000 6.218
ATOMIC_POSITIONS angstrom
K 0.000 0.000 0.000
K 2.963 1.676 0.000
K 2.963 -1.676 0.000
Dy 1.978 3.419 3.109
Dy 1.978 -3.419 3.109
Mo 1.978 0.000 3.109
O 1.013 1.669 1.955
O 0.050 0.000 4.259
O 1.013 -1.669 1.955
O 2.942 1.669 4.263
O 3.906 0.000 1.959
O 2.942 -1.669 4.263

***

Record 2
! K3DyMo2O8 (PBE with a Hubbard U, relaxed); values from VASP
! Uncorrected energy: -6.42 eV per atom
! Space group: P-3m1
&SYSTEM
  ibrav = 0, nat = 14, ntyp = 4
/
ATOMIC_SPECIES
K 39.10 K.upf
Dy 162.50 Dy.upf
Mo 95.94 Mo.upf
O 16.00 O.upf
CELL_PARAMETERS angstrom
6.133 0.000 0.000
-3.067 5.311 0.000
0.000 0.000 7.754
ATOMIC_POSITIONS angstrom
K 0.000 0.000 0.000
K 0.000 3.541 5.156
K 3.067 1.770 2.598
Dy 0.000 0.000 3.877
Mo 0.000 3.541 1.751
Mo 3.067 1.770 6.004
O 0.000 1.815 2.523
O -1.495 4.404 2.523
O 0.000 3.541 7.705
O 1.572 0.908 5.231
O 1.494 4.404 2.523
O 3.067 1.770 0.049
O 4.561 0.908 5.231
O 3.067 3.496 5.231

***

Record 3
! K2Dy2MoO6 (PBE with a Hubbard U, relaxed); values from VASP
! Uncorrected energy: -6.88 eV per atom
! Space group: C2/m
&SYSTEM
  ibrav = 0, nat = 11, ntyp = 4
/
ATOMIC_SPECIES
K 39.10 K.upf
Dy 162.50 Dy.upf
Mo 95.94 Mo.upf
O 16.00 O.upf
CELL_PARAMETERS angstrom
2.943 -5.010 0.000
2.943 5.010 0.000
-1.880 0.000 6.339
ATOMIC_POSITIONS angstrom
K 2.943 3.380 0.000
K 2.943 -3.380 0.000
Dy 2.003 1.637 3.169
Dy 2.003 -1.637 3.169
Mo -0.940 0.000 3.169
O -0.046 1.560 4.250
O 0.916 0.000 2.043
O -0.046 -1.560 4.250
O 4.052 1.560 2.089
O 3.090 0.000 4.295
O 4.052 -1.560 2.089

***

Record 4
! K4Dy3MoO8 (PBE with a Hubbard U, relaxed); values from VASP
! Uncorrected energy: -6.53 eV per atom
! Space group: R-3m
&SYSTEM
  ibrav = 0, nat = 16, ntyp = 4
/
ATOMIC_SPECIES
K 39.10 K.upf
Dy 162.50 Dy.upf
Mo 95.94 Mo.upf
O 16.00 O.upf
CELL_PARAMETERS angstrom
3.438 1.985 6.228
-3.438 1.985 6.228
0.000 -3.970 6.228
ATOMIC_POSITIONS angstrom
K 0.000 0.000 0.000
K -1.719 -0.992 6.228
K -1.719 0.992 12.456
K 0.000 1.985 6.228
Dy -3.438 0.000 9.342
Dy -1.719 0.992 3.114
Dy 1.719 0.992 3.114
Mo 0.000 0.000 9.342
O 0.000 0.000 4.274
O -1.685 -0.973 10.495
O 0.000 -1.945 8.189
O -1.685 0.973 8.189
O 1.685 -0.973 10.495
O 0.000 1.945 10.495
O 1.685 0.973 8.189
O 0.000 0.000 14.410

***

Copy entry 4 word for word.
! K4Dy3MoO8 (PBE with a Hubbard U, relaxed); values from VASP
! Uncorrected energy: -6.53 eV per atom
! Space group: R-3m
&SYSTEM
  ibrav = 0, nat = 16, ntyp = 4
/
ATOMIC_SPECIES
K 39.10 K.upf
Dy 162.50 Dy.upf
Mo 95.94 Mo.upf
O 16.00 O.upf
CELL_PARAMETERS angstrom
3.438 1.985 6.228
-3.438 1.985 6.228
0.000 -3.970 6.228
ATOMIC_POSITIONS angstrom
K 0.000 0.000 0.000
K -1.719 -0.992 6.228
K -1.719 0.992 12.456
K 0.000 1.985 6.228
Dy -3.438 0.000 9.342
Dy -1.719 0.992 3.114
Dy 1.719 0.992 3.114
Mo 0.000 0.000 9.342
O 0.000 0.000 4.274
O -1.685 -0.973 10.495
O 0.000 -1.945 8.189
O -1.685 0.973 8.189
O 1.685 -0.973 10.495
O 0.000 1.945 10.495
O 1.685 0.973 8.189
O 0.000 0.000 14.410

***

Q: Look up the uncorrected energy of the first one.
A: -6.49 eV per atom